Density functional theory data (PBE-GGA) for a relaxed Ta2AlHg crystal.

ΔE to the lowest computed polymorph = 0.55 eV per formula unit
energy relative to the elements = 0.795 eV/f.u.
Fermi-level density of states = 1.96 states/eV per cell
crystal system = monoclinic

abc: 5.167 5.167 5.150
angles: 80.04 80.04 33.10
Fractional positions:
Ta  0.744  0.744  0.770
Al  0.494  0.494  0.493
Ta  0.008  0.008  0.972
Hg  0.254  0.254  0.266


Density functional theory data (PBE-GGA) for a relaxed LaNi4C crystal.

energy relative to the elements = -0.692 eV/f.u.
Fermi-level density of states = 10.08 states/eV per cell
crystal system = monoclinic

abc: 5.274 5.274 7.154
angles: 111.47 111.49 89.94
Fractional positions:
C  0.500  0.000  0.500
Ni  0.845  0.351  0.200
Ni  0.189  0.189  0.497
Ni  0.690  0.310  0.500
Ni  0.649  0.155  0.800
La  0.247  0.248  0.000
Ni  0.351  0.845  0.200
La  0.753  0.752  0.000
Ni  0.310  0.690  0.500
Ni  0.811  0.811  0.503
Ni  0.155  0.649  0.800
C  0.000  0.500  0.500


Density functional theory data (PBE-GGA) for a relaxed BaTc2Rh crystal.

ΔE to the lowest computed polymorph = 3.18 eV per formula unit
energy relative to the elements = 4.706 eV/f.u.
Fermi-level density of states = 6.22 states/eV per cell
crystal system = cubic

abc: 4.702 4.702 4.702
angles: 60.00 60.00 60.00
Last column: magnetic moment on the atom in μB.
Fractional positions:
Tc  0.250  0.250  0.250  0.47
Tc  0.750  0.750  0.750  0.47
Ba  0.500  0.500  0.500  0.01
Rh  0.000  0.000  0.000  0.30


Density functional theory data (PBE-GGA) for a relaxed LaWCl crystal.

ΔE to the lowest computed polymorph = 0.00 eV per formula unit
raw formation energy = 0.298 eV per atom
Fermi-level density of states = 1.99 states/eV per cell
crystal system = tetragonal

abc: 8.264 8.264 3.115
angles: 79.15 79.12 21.73
Last column: magnetic moment on the atom in μB.
Fractional positions:
W  0.694  0.694  0.306  0.27
La  0.341  0.341  0.659  -0.02
Cl  0.965  0.965  0.035  0.00


Density functional theory data (PBE-GGA) for a relaxed Cs2KTlBi crystal.

energy relative to the elements = -0.250 eV/f.u.
Fermi-level density of states = 6.28 states/eV per cell
crystal system = tetragonal

abc: 7.766 7.766 6.142
angles: 90.00 90.00 90.00
Fractional positions:
Tl  0.000  0.000  0.500
Bi  0.000  0.000  0.000
Cs  0.500  0.000  0.000
Cs  0.000  0.500  0.000
K  0.500  0.500  0.500


Density functional theory data (PBE-GGA) for a relaxed TcIr3 crystal.

energy relative to the elements = -0.444 eV/f.u.
Fermi-level density of states = 3.36 states/eV per cell
crystal system = orthorhombic

abc: 4.747 4.747 2.727
angles: 90.00 90.00 109.62
Fractional positions:
Ir  0.000  0.500  0.500
Ir  0.000  0.000  0.000
Ir  0.500  0.000  0.500
Tc  0.500  0.500  0.000


Which of these has the highest Fermi-level density of states?
LaNi4C


Which of these has the highest Fermi-level density of states?
LaNi4C